Entry 1:
# SrHg7Pb2 PBE relaxed
# Energy ... -1.23 eV per atom
# V ... 28.6 Å³/atom
# ρ ... 11.1 g/cm³
# Formation energy from the elements ... -2.396 kcal/mol of atoms
data_SrHg7Pb2
_chemical_formula_sum 'Sr2 Hg14 Pb4'
_cell_length_a 6.0629
_cell_length_b 26.0138
_cell_length_c 3.6268
_cell_angle_alpha 90.00
_cell_angle_beta 90.00
_cell_angle_gamma 90.00
_space_group_name_H-M_alt 'C m m m'
_space_group_IT_number 65
_space_group_name_Hall '-C 2 2'
loop_
_atom_site_label
_atom_site_fract_x
_atom_site_fract_y
_atom_site_fract_z
Sr1 0.0000 0.0000 0.0000
Hg1 0.0000 0.3173 0.0000
Hg2 0.0000 0.5000 0.5000
Hg3 0.2464 0.1005 0.5000
Pb1 0.0000 0.2143 0.5000



Entry 2:
# LaTb3Ho2 PBE relaxed
# Energy ... -4.32 eV per atom
# V ... 33.5 Å³/atom
# ρ ... 7.8 g/cm³
# Formation energy from the elements ... 7.807 kcal/mol of atoms
data_LaTb3Ho2
_chemical_formula_sum 'La2 Tb6 Ho4'
_cell_length_a 3.4513
_cell_length_b 5.9247
_cell_length_c 19.6318
_cell_angle_alpha 90.00
_cell_angle_beta 90.00
_cell_angle_gamma 90.00
_space_group_name_H-M_alt 'I m m m'
_space_group_IT_number 71
_space_group_name_Hall '-I 2 2'
loop_
_atom_site_label
_atom_site_fract_x
_atom_site_fract_y
_atom_site_fract_z
La1 0.0000 0.0000 0.0000
Tb1 0.0000 0.0000 0.1935
Tb2 0.0000 0.5000 0.0000
Ho1 0.0000 0.0000 0.3610



Entry 3:
# LuScCuTc PBE relaxed
# Energy ... -6.54 eV per atom
# V ... 18.1 Å³/atom
# ρ ... 8.8 g/cm³
# Formation energy from the elements ... -4.929 kcal/mol of atoms
data_LuScCuTc
_chemical_formula_sum 'Lu4 Sc4 Cu4 Tc4'
_cell_length_a 6.6125
_cell_length_b 6.6125
_cell_length_c 6.6125
_cell_angle_alpha 90.00
_cell_angle_beta 90.00
_cell_angle_gamma 90.00
_space_group_name_H-M_alt 'F -4 3 m'
_space_group_IT_number 216
_space_group_name_Hall 'F -4 2 3'
loop_
_atom_site_label
_atom_site_fract_x
_atom_site_fract_y
_atom_site_fract_z
Lu1 0.0000 0.0000 0.0000
Sc1 0.0000 0.0000 0.5000
Cu1 0.2500 0.2500 0.7500
Tc1 0.2500 0.2500 0.2500



Entry 4:
# CuTcF3 PBE relaxed
# Energy ... -4.71 eV per atom
# V ... 13.6 Å³/atom
# ρ ... 5.4 g/cm³
# Formation energy from raw total energies ... -0.6980 eV per atom
data_CuTcF3
_chemical_formula_sum 'Cu1 Tc1 F3'
_cell_length_a 4.0780
_cell_length_b 4.0780
_cell_length_c 4.0780
_cell_angle_alpha 90.00
_cell_angle_beta 90.00
_cell_angle_gamma 90.00
_space_group_name_H-M_alt 'P m -3 m'
_space_group_IT_number 221
_space_group_name_Hall '-P 4 2 3'
loop_
_atom_site_label
_atom_site_fract_x
_atom_site_fract_y
_atom_site_fract_z
Cu1 0.0000 0.0000 0.0000
Tc1 0.5000 0.5000 0.5000
F1 0.0000 0.0000 0.5000



Entry 5:
# Pm5Pr2DySc PBE relaxed
# Energy ... -4.64 eV per atom
# V ... 33.8 Å³/atom
# ρ ... 6.6 g/cm³
# Formation energy from the elements ... 6.329 kcal/mol of atoms
data_Pm5Pr2DySc
_chemical_formula_sum 'Pm20 Pr8 Dy4 Sc4'
_cell_length_a 8.4899
_cell_length_b 8.4899
_cell_length_c 16.8704
_cell_angle_alpha 90.00
_cell_angle_beta 90.00
_cell_angle_gamma 90.00
_space_group_name_H-M_alt 'I 4/m c m'
_space_group_IT_number 140
_space_group_name_Hall '-I 4 2c'
loop_
_atom_site_label
_atom_site_fract_x
_atom_site_fract_y
_atom_site_fract_z
Pm1 0.0000 0.0000 0.0000
Pm2 0.2176 0.2824 0.1461
Pr1 0.1244 0.3756 0.5000
Dy1 0.0000 0.0000 0.2500
Sc1 0.0000 0.5000 0.2500



Entry 6:
# Rb3Pm3US8 PBE relaxed
# Energy ... -5.85 eV per atom
# V ... 31.0 Å³/atom
# ρ ... 4.2 g/cm³
# Formation energy from raw total energies ... -1.7508 eV per atom
data_Rb3Pm3US8
_chemical_formula_sum 'Rb9 Pm9 U3 S24'
_cell_length_a 8.2835
_cell_length_b 8.2835
_cell_length_c 23.4773
_cell_angle_alpha 90.00
_cell_angle_beta 90.00
_cell_angle_gamma 120.00
_space_group_name_H-M_alt 'R -3 m'
_space_group_IT_number 166
_space_group_name_Hall '-R 3 2"'
loop_
_atom_site_label
_atom_site_fract_x
_atom_site_fract_y
_atom_site_fract_z
Rb1 0.0000 0.5000 0.0000
Pm1 0.0000 0.5000 0.5000
U1 0.0000 0.0000 0.5000
S1 0.0000 0.0000 0.2318
S2 0.0132 0.5066 0.2290



Entry 7:
# NaCeY2 PBE relaxed
# Energy ... -4.89 eV per atom
# V ... 32.3 Å³/atom
# ρ ... 4.4 g/cm³
# Formation energy from the elements ... 3.629 kcal/mol of atoms
data_NaCeY2
_chemical_formula_sum 'Na1 Ce1 Y2'
_cell_length_a 3.5134
_cell_length_b 3.5134
_cell_length_c 10.4619
_cell_angle_alpha 90.00
_cell_angle_beta 90.00
_cell_angle_gamma 90.00
_space_group_name_H-M_alt 'P 4/m m m'
_space_group_IT_number 123
_space_group_name_Hall '-P 4 2'
loop_
_atom_site_label
_atom_site_fract_x
_atom_site_fract_y
_atom_site_fract_z
Na1 0.0000 0.0000 0.0000
Ce1 0.0000 0.0000 0.5000
Y1 0.5000 0.5000 0.2752



Entry 8:
# Y2ScPt PBE relaxed
# Energy ... -6.96 eV per atom
# V ... 24.9 Å³/atom
# ρ ... 7.0 g/cm³
# Formation energy from the elements ... -14.715 kcal/mol of atoms
data_Y2ScPt
_chemical_formula_sum 'Y4 Sc2 Pt2'
_cell_length_a 3.5796
_cell_length_b 5.1408
_cell_length_c 10.8415
_cell_angle_alpha 90.00
_cell_angle_beta 90.00
_cell_angle_gamma 90.00
_space_group_name_H-M_alt 'I m m 2'
_space_group_IT_number 44
loop_
_space_group_symop_operation_xyz
'x,y,z'
'-x,-y,z'
'-x,y,z'
'x,-y,z'
'x+1/2,y+1/2,z+1/2'
'-x+1/2,-y+1/2,z+1/2'
'-x+1/2,y+1/2,z+1/2'
'x+1/2,-y+1/2,z+1/2'
loop_
_atom_site_label
_atom_site_fract_x
_atom_site_fract_y
_atom_site_fract_z
Y1 0.0000 0.0000 0.0000
Y2 0.0000 0.5000 0.2062
Sc1 0.0000 0.0000 0.4047
Pt1 0.0000 0.5000 0.7163



Entry 9:
# GaSb2PI PBE relaxed
# Energy ... -3.11 eV per atom
# V ... 31.2 Å³/atom
# ρ ... 5.0 g/cm³
# Formation energy from raw total energies ... 0.5387 eV per atom
data_GaSb2PI
_chemical_formula_sum 'Ga1 Sb2 P1 I1'
_cell_length_a 5.2562
_cell_length_b 5.2562
_cell_length_c 5.6398
_cell_angle_alpha 90.00
_cell_angle_beta 90.00
_cell_angle_gamma 90.00
_space_group_name_H-M_alt 'P 4/m m m'
_space_group_IT_number 123
_space_group_name_Hall '-P 4 2'
loop_
_atom_site_label
_atom_site_fract_x
_atom_site_fract_y
_atom_site_fract_z
Ga1 0.0000 0.0000 0.0000
Sb1 0.0000 0.5000 0.5000
P1 0.5000 0.5000 0.5000
I1 0.5000 0.5000 0.0000



Entry 10:
# TlPb2IO6 PBE relaxed
# Energy ... -4.85 eV per atom
# V ... 17.4 Å³/atom
# ρ ... 8.0 g/cm³
# Formation energy from raw total energies ... -0.7396 eV per atom
data_TlPb2IO6
_chemical_formula_sum 'Tl1 Pb2 I1 O6'
_cell_length_a 5.9947
_cell_length_b 5.9978
_cell_length_c 6.0498
_cell_angle_alpha 66.31
_cell_angle_beta 66.10
_cell_angle_gamma 65.94
_space_group_name_H-M_alt 'P -1'
_space_group_IT_number 2
loop_
_space_group_symop_operation_xyz
'x,y,z'
'-x,-y,-z'
loop_
_atom_site_label
_atom_site_fract_x
_atom_site_fract_y
_atom_site_fract_z
Tl1 0.0000 0.0000 0.0000
Pb1 0.2701 0.2705 0.2726
I1 0.5000 0.5000 0.5000
O1 0.1903 0.4023 0.6548
O2 0.3392 0.8105 0.5968
O3 0.4041 0.6562 0.1927



Entry 11:
# NdTm5Hg2 PBE relaxed
# Energy ... -3.64 eV per atom
# V ... 28.7 Å³/atom
# ρ ... 10.1 g/cm³
# Formation energy from the elements ... -3.959 kcal/mol of atoms
data_NdTm5Hg2
_chemical_formula_sum 'Nd2 Tm10 Hg4'
_cell_length_a 3.7084
_cell_length_b 10.0178
_cell_length_c 12.3569
_cell_angle_alpha 90.00
_cell_angle_beta 90.00
_cell_angle_gamma 90.00
_space_group_name_H-M_alt 'I m m m'
_space_group_IT_number 71
_space_group_name_Hall '-I 2 2'
loop_
_atom_site_label
_atom_site_fract_x
_atom_site_fract_y
_atom_site_fract_z
Nd1 0.0000 0.0000 0.0000
Tm1 0.0000 0.2247 0.3636
Tm2 0.0000 0.5000 0.0000
Hg1 0.0000 0.5000 0.2571



Entry 12:
# MnCrBi2 PBE relaxed
# Energy ... -5.91 eV per atom
# V ... 20.5 Å³/atom
# ρ ... 10.6 g/cm³
# Formation energy from the elements ... 16.813 kcal/mol of atoms
data_MnCrBi2
_chemical_formula_sum 'Mn4 Cr4 Bi8'
_cell_length_a 6.8952
_cell_length_b 6.8952
_cell_length_c 6.8952
_cell_angle_alpha 90.00
_cell_angle_beta 90.00
_cell_angle_gamma 90.00
_space_group_name_H-M_alt 'F m -3 m'
_space_group_IT_number 225
_space_group_name_Hall '-F 4 2 3'
loop_
_atom_site_label
_atom_site_fract_x
_atom_site_fract_y
_atom_site_fract_z
Mn1 0.0000 0.0000 0.0000
Cr1 0.0000 0.0000 0.5000
Bi1 0.2500 0.2500 0.2500